1.
This record from the Alexandria database describes crystalline LiIn3Rh at its relaxed geometry. The functional is PBE.

Energy above the lowest structure with this stoichiometry, kJ/mol of formula units: 75
Total magnetization, μB per formula unit: 0.0
Uncorrected energy, eV per cell: -18.11
Formation enthalpy at 0 K, eV/f.u.: -0.6
Symmetry: Pm-3m (221)

a = 5.140 Å, b = 5.140 Å, c = 5.140 Å
α = 90.00°, β = 90.00°, γ = 90.00°
Fractional coordinates of all 5 atoms:
Li (0.000, 0.000, 0.000)
In (0.000, 0.500, 0.500)
In (0.500, 0.000, 0.500)
In (0.500, 0.500, 0.000)
Rh (0.500, 0.500, 0.500)

2.
This record from the Alexandria database describes crystalline LiInRh2 at its relaxed geometry. The functional is PBE.

Total magnetization, μB per formula unit: 0.0
Uncorrected energy, eV per cell: -40.46
Formation enthalpy at 0 K, eV/f.u.: -0.9
Symmetry: Cm (8)

a = 9.321 Å, b = 2.930 Å, c = 4.654 Å
α = 90.00°, β = 102.22°, γ = 90.00°
Fractional coordinates of all 8 atoms:
Li (0.000, 0.000, 0.000)
Li (0.500, 0.500, 0.000)
In (0.237, 0.000, 0.728)
In (0.737, 0.500, 0.728)
Rh (0.250, 0.500, 0.231)
Rh (0.486, 0.000, 0.473)
Rh (0.750, 0.000, 0.231)
Rh (0.986, 0.500, 0.473)

3.
This record from the Alexandria database describes crystalline LiInRh at its relaxed geometry. The functional is PBE.

Total magnetization, μB per formula unit: 0.0
Uncorrected energy, eV per cell: -13.02
Formation enthalpy at 0 K, eV/f.u.: -1.0
Symmetry: P3m1 (156)

a = 4.291 Å, b = 4.291 Å, c = 2.960 Å
α = 90.00°, β = 90.00°, γ = 120.00°
Fractional coordinates of all 3 atoms:
Li (0.000, 0.000, 0.000)
In (0.333, 0.667, 0.657)
Rh (0.667, 0.333, 0.215)